Record 1
Density functional theory data (PBE-GGA) for NbAlCoPd after structural relaxation.

Summary:
The calculation puts the total DFT energy (no corrections) at -6.6275 eV per atom. As for the symmetry: F-43m.

Cell lengths 4.376, 4.376, 4.376 Å; angles 60.00, 60.00, 60.00 degrees
Atoms (fractional coordinates):
Nb1 0.250 0.250 0.250
Co1 0.750 0.750 0.750
Pd1 0.500 0.500 0.500
Al1 0.000 0.000 0.000

Record 2
Density functional theory data (PBE-GGA) for NbAlCoTc after structural relaxation.

Summary:
The calculation puts the total DFT energy (no corrections) at -8.2200 eV per atom. As for the symmetry: F-43m.

Cell lengths 4.317, 4.317, 4.317 Å; angles 60.00, 60.00, 60.00 degrees
Atoms (fractional coordinates):
Al1 0.000 0.000 0.000
Co1 0.750 0.750 0.750
Tc1 0.250 0.250 0.250
Nb1 0.500 0.500 0.500